# 1
## SbPCS2 (meta-GGA SCAN)

Data for a PBEsol-optimized structure of SbPCS2.

Computed properties:
- Calculated volume: 122.8 Å³ per cell
- Density of states at the Fermi level: 3.33 states/eV/cell
- Relative energy among the computed polymorphs: 4.93 eV per formula unit

a b c (Å): 4.896 4.896 5.122
angles (deg): 90.00 90.00 90.00
Element x y z (fractional)
Sb: 0.000 0.000 0.000
P: 0.000 0.000 0.500
C: 0.500 0.500 0.500
S: 0.000 0.500 0.000
S: 0.500 0.000 0.000


# 2
## PCSeS2 (meta-GGA SCAN)

Data for a PBEsol-optimized structure of PCSeS2.

Computed properties:
- Calculated volume: 69.8 Å³ per cell
- Density of states at the Fermi level: 2.74 states/eV/cell
- Relative energy among the computed polymorphs: 0.00 eV per formula unit

a b c (Å): 4.020 4.020 4.317
angles (deg): 90.00 90.00 90.00
Element x y z (fractional)
P: 0.000 0.000 0.000
C: 0.000 0.000 0.500
Se: 0.500 0.500 0.000
S: 0.000 0.500 0.500
S: 0.500 0.000 0.500


# 3
## PCSeS2 (meta-GGA SCAN)

Data for a PBEsol-optimized structure of PCSeS2.

Computed properties:
- Calculated volume: 102.7 Å³ per cell
- Density of states at the Fermi level: 3.35 states/eV/cell
- Relative energy among the computed polymorphs: 4.23 eV per formula unit

a b c (Å): 4.644 4.644 4.763
angles (deg): 90.00 90.00 90.00
Element x y z (fractional)
P: 0.000 0.000 0.000
C: 0.500 0.500 0.000
Se: 0.000 0.000 0.500
S: 0.000 0.500 0.500
S: 0.500 0.000 0.500


# 4
## TcPCS2 (meta-GGA SCAN)

Data for a PBEsol-optimized structure of TcPCS2.

Computed properties:
- Calculated volume: 92.5 Å³ per cell
- Density of states at the Fermi level: 3.94 states/eV/cell
- Final energy: -66.4 eV for the cell shown

a b c (Å): 4.470 4.470 4.631
angles (deg): 90.00 90.00 90.00
Element x y z (fractional)
Tc: 0.000 0.000 0.000
P: 0.000 0.000 0.500
C: 0.500 0.500 0.500
S: 0.000 0.500 0.000
S: 0.500 0.000 0.000


# 5
## ScSiP2C (meta-GGA SCAN)

Data for a PBEsol-optimized structure of ScSiP2C.

Computed properties:
- Calculated volume: 114.8 Å³ per cell
- Density of states at the Fermi level: 3.49 states/eV/cell
- Final energy: -45.1 eV for the cell shown

a b c (Å): 4.789 4.789 5.007
angles (deg): 90.00 90.00 90.00
Element x y z (fractional)
Sc: 0.000 0.000 0.000
Si: 0.000 0.000 0.500
P: 0.000 0.500 0.000
P: 0.500 0.000 0.000
C: 0.500 0.500 0.500


# 6
## SiPC2 (meta-GGA SCAN)

Data for a PBEsol-optimized structure of SiPC2.

Computed properties:
- Calculated volume: 36.2 Å³ per cell
- Density of states at the Fermi level: 1.32 states/eV/cell
- Final energy: -31.6 eV for the cell shown

a b c (Å): 3.713 3.713 3.713
angles (deg): 60.00 60.00 60.00
Element x y z (fractional)
Si: 0.000 0.000 0.000
P: 0.500 0.500 0.500
C: 0.250 0.250 0.250
C: 0.750 0.750 0.750


# 7
## SrSiPC2 (meta-GGA SCAN)

Data for a PBEsol-optimized structure of SrSiPC2.

Computed properties:
- Calculated volume: 72.3 Å³ per cell
- Density of states at the Fermi level: 2.23 states/eV/cell
- Final energy: -55.3 eV for the cell shown

a b c (Å): 3.949 3.949 4.635
angles (deg): 90.00 90.00 90.00
Element x y z (fractional)
Sr: 0.000 0.000 0.000
Si: 0.500 0.500 0.000
P: 0.500 0.500 0.500
C: 0.000 0.500 0.500
C: 0.500 0.000 0.500


# 8
## Sn2PC (meta-GGA SCAN)

Data for a PBEsol-optimized structure of Sn2PC.

Computed properties:
- Calculated volume: 69.4 Å³ per cell
- Density of states at the Fermi level: 2.83 states/eV/cell
- Formation energy: 1.52 eV/atom

a b c (Å): 4.613 4.613 4.613
angles (deg): 60.00 60.00 60.00
Element x y z (fractional)
Sn: 0.250 0.250 0.250
Sn: 0.750 0.750 0.750
P: 0.000 0.000 0.000
C: 0.500 0.500 0.500